Entry 1:
CaAlGaIr | PBE | relaxed

a b c (Å): 5.8276 5.8276 5.8276
angles (deg): 43.34 43.34 43.34
Last column: nearest neighbours and their distance in Å.
Atoms (fractional coordinates):
Ca 0.0000 0.0000 0.0000  1 Ir 3.00, 4 Ga 3.17-3.25, 3 Al 3.22
Al 0.5369 0.5369 0.5369  3 Ir 2.49, 3 Ga 2.73
Ga 0.7994 0.7994 0.7994  3 Ir 2.64, 3 Al 2.73
Ir 0.1896 0.1896 0.1896  3 Al 2.49, 3 Ga 2.64

Output
Symmetry: R3m (160)
Electronic total energy in eV per atom: -5.021
M_tot in μB/atom: 0.000
Mass density in Mg/m³: 6.46

=====

Entry 2:
LiCa2Al2Ga5 | PBE | relaxed

a b c (Å): 10.2349 10.2349 3.8967
angles (deg): 90.00 90.00 90.00
Last column: nearest neighbours and their distance in Å.
Atoms (fractional coordinates):
Li 0.0000 0.0000 0.0000  8 Ga 2.89
Li 0.5000 0.5000 0.0000  8 Ga 2.89
Ca 0.1751 0.3249 0.0000  3 Al 2.93-3.09, 2 Ga 3.20
Ca 0.3249 0.8249 0.0000  3 Al 2.93-3.09, 2 Ga 3.20
Ca 0.6751 0.1751 0.0000  3 Al 2.93-3.09, 2 Ga 3.20
Ca 0.8249 0.6751 0.0000  3 Al 2.93-3.09, 2 Ga 3.20
Al 0.1227 0.6227 0.0000  6 Ga 2.64-2.74, 1 Ca 2.93
Al 0.3773 0.1227 0.0000  6 Ga 2.64-2.74, 1 Ca 2.93
Al 0.6227 0.8773 0.0000  6 Ga 2.64-2.74, 1 Ca 2.93
Al 0.8773 0.3773 0.0000  6 Ga 2.64-2.74, 1 Ca 2.93
Ga 0.0000 0.5000 0.5000  4 Al 2.64
Ga 0.0595 0.8003 0.5000  2 Al 2.74, 2 Li 2.89, 2 Ga 3.02
Ga 0.1997 0.0595 0.5000  2 Al 2.74, 2 Li 2.89, 2 Ga 3.02
Ga 0.3003 0.5595 0.5000  2 Al 2.74, 2 Li 2.89, 2 Ga 3.02
Ga 0.4405 0.3003 0.5000  2 Al 2.74, 2 Li 2.89, 2 Ga 3.02
Ga 0.5000 0.0000 0.5000  4 Al 2.64
Ga 0.5595 0.6997 0.5000  2 Al 2.74, 2 Li 2.89, 2 Ga 3.02
Ga 0.6997 0.4405 0.5000  2 Al 2.74, 2 Li 2.89, 2 Ga 3.02
Ga 0.8003 0.9405 0.5000  2 Al 2.74, 2 Li 2.89, 2 Ga 3.02
Ga 0.9405 0.1997 0.5000  2 Al 2.74, 2 Li 2.89, 2 Ga 3.02

Output
Symmetry: P4/mbm (127)
Electronic total energy in eV per atom: -3.123
M_tot in μB/atom: 0.000
Mass density in Mg/m³: 3.98

=====

Entry 3:
Li5Ca2Al2Ga | PBE | relaxed

a b c (Å): 10.7782 10.7782 3.8294
angles (deg): 90.00 90.00 90.00
Last column: nearest neighbours and their distance in Å.
Atoms (fractional coordinates):
Li 0.0000 0.5000 0.0000  4 Al 2.66
Li 0.0578 0.1913 0.0000  2 Al 2.87, 2 Ga 2.88, 2 Li 3.05
Li 0.1913 0.9422 0.0000  2 Al 2.87, 2 Ga 2.88, 2 Li 3.05
Li 0.3087 0.4422 0.0000  2 Al 2.87, 2 Ga 2.88, 2 Li 3.05
Li 0.4422 0.6913 0.0000  2 Al 2.87, 2 Ga 2.88, 2 Li 3.05
Li 0.5000 0.0000 0.0000  4 Al 2.66
Li 0.5578 0.3087 0.0000  2 Al 2.87, 2 Ga 2.88, 2 Li 3.05
Li 0.6913 0.5578 0.0000  2 Al 2.87, 2 Ga 2.88, 2 Li 3.05
Li 0.8087 0.0578 0.0000  2 Al 2.87, 2 Ga 2.88, 2 Li 3.05
Li 0.9422 0.8087 0.0000  2 Al 2.87, 2 Ga 2.88, 2 Li 3.05
Ca 0.1755 0.6755 0.5000  3 Al 3.10-3.25, 10 Li 3.29-3.47
Ca 0.3245 0.1755 0.5000  3 Al 3.10-3.25, 10 Li 3.29-3.47
Ca 0.6755 0.8245 0.5000  3 Al 3.10-3.25, 10 Li 3.29-3.47
Ca 0.8245 0.3245 0.5000  3 Al 3.10-3.25, 10 Li 3.29-3.47
Al 0.1209 0.3791 0.5000  6 Li 2.66-2.87
Al 0.3791 0.8791 0.5000  6 Li 2.66-2.87
Al 0.6209 0.1209 0.5000  6 Li 2.66-2.87
Al 0.8791 0.6209 0.5000  6 Li 2.66-2.87
Ga 0.0000 0.0000 0.5000  8 Li 2.88
Ga 0.5000 0.5000 0.5000  8 Li 2.88

Output
Symmetry: P4/mbm (127)
Electronic total energy in eV per atom: -2.454
M_tot in μB/atom: 0.000
Mass density in Mg/m³: 1.78

=====

Entry 4:
Li2Ca2AlGa5 | PBE | relaxed

a b c (Å): 10.2869 10.2869 3.6649
angles (deg): 90.00 90.00 90.00
Last column: nearest neighbours and their distance in Å.
Atoms (fractional coordinates):
Li 0.1230 0.3770 0.0000  6 Ga 2.56-2.74
Li 0.3770 0.8770 0.0000  6 Ga 2.56-2.74
Li 0.6230 0.1230 0.0000  6 Ga 2.56-2.74
Li 0.8770 0.6230 0.0000  6 Ga 2.56-2.74
Ca 0.1794 0.6794 0.0000  3 Li 2.88-3.16, 2 Ga 3.19
Ca 0.3206 0.1794 0.0000  3 Li 2.88-3.16, 2 Ga 3.19
Ca 0.6794 0.8206 0.0000  3 Li 2.88-3.16, 2 Ga 3.19
Ca 0.8206 0.3206 0.0000  3 Li 2.88-3.16, 2 Ga 3.19
Al 0.0000 0.0000 0.0000  8 Ga 2.75
Al 0.5000 0.5000 0.0000  8 Ga 2.75
Ga 0.0000 0.5000 0.5000  4 Li 2.56
Ga 0.0525 0.1919 0.5000  2 Li 2.74, 2 Al 2.75, 2 Ga 2.89
Ga 0.1919 0.9475 0.5000  2 Li 2.74, 2 Al 2.75, 2 Ga 2.89
Ga 0.3081 0.4475 0.5000  2 Li 2.74, 2 Al 2.75, 2 Ga 2.89
Ga 0.4475 0.6919 0.5000  2 Li 2.74, 2 Al 2.75, 2 Ga 2.89
Ga 0.5000 0.0000 0.5000  4 Li 2.56
Ga 0.5525 0.3081 0.5000  2 Li 2.74, 2 Al 2.75, 2 Ga 2.89
Ga 0.6919 0.5525 0.5000  2 Li 2.74, 2 Al 2.75, 2 Ga 2.89
Ga 0.8081 0.0525 0.5000  2 Li 2.74, 2 Al 2.75, 2 Ga 2.89
Ga 0.9475 0.8081 0.5000  2 Li 2.74, 2 Al 2.75, 2 Ga 2.89

Output
Symmetry: P4/mbm (127)
Electronic total energy in eV per atom: -2.961
M_tot in μB/atom: 0.000
Mass density in Mg/m³: 4.02

=====

Entry 5:
LiCaAlGa | PBE | relaxed

a b c (Å): 4.8236 4.8236 4.8236
angles (deg): 60.00 60.00 60.00
Last column: nearest neighbours and their distance in Å.
Atoms (fractional coordinates):
Li 0.0000 0.0000 0.0000  4 Ca 2.95, 4 Al 2.95
Ca 0.7500 0.7500 0.7500  4 Li 2.95, 4 Ga 2.95
Al 0.2500 0.2500 0.2500  4 Li 2.95, 4 Ga 2.95
Ga 0.5000 0.5000 0.5000  4 Ca 2.95, 4 Al 2.95

Output
Symmetry: F-43m (216)
Electronic total energy in eV per atom: -2.897
M_tot in μB/atom: 0.000
Mass density in Mg/m³: 3.01

=====

Entry 6:
Li2CaAl2Ga2 | PBE | relaxed

a b c (Å): 4.3662 4.3662 8.4607
angles (deg): 104.85 104.85 59.98
Last column: nearest neighbours and their distance in Å.
Atoms (fractional coordinates):
Li 0.1435 0.1435 0.4309  3 Al 2.69-2.70, 4 Ga 2.72-2.99, 3 Li 2.75-2.76
Li 0.8565 0.8565 0.5691  3 Al 2.69-2.70, 4 Ga 2.72-2.99, 3 Li 2.75-2.76
Ca 0.0000 0.0000 0.0000  6 Ga 3.14-3.15, 2 Li 3.48
Al 0.4373 0.4373 0.3125  3 Ga 2.60, 3 Li 2.69-2.70
Al 0.5627 0.5627 0.6875  3 Ga 2.60, 3 Li 2.69-2.70
Ga 0.2555 0.2555 0.7670  3 Al 2.60, 1 Li 2.72
Ga 0.7445 0.7445 0.2330  3 Al 2.60, 1 Li 2.72

Output
Symmetry: C2/m (12)
Electronic total energy in eV per atom: -3.085
M_tot in μB/atom: 0.000
Mass density in Mg/m³: 3.08

=====

Entry 7:
CaMgAlGa | PBE | relaxed

a b c (Å): 4.9908 4.9908 4.9908
angles (deg): 60.00 60.00 60.00
Last column: nearest neighbours and their distance in Å.
Atoms (fractional coordinates):
Ca 0.0000 0.0000 0.0000  4 Al 3.06, 4 Ga 3.06
Mg 0.5000 0.5000 0.5000  4 Al 3.06, 4 Ga 3.06
Al 0.7500 0.7500 0.7500  4 Ca 3.06, 4 Mg 3.06
Ga 0.2500 0.2500 0.2500  4 Ca 3.06, 4 Mg 3.06

Output
Symmetry: F-43m (216)
Electronic total energy in eV per atom: -2.795
M_tot in μB/atom: 0.000
Mass density in Mg/m³: 3.04

=====

Entry 8:
CaMgAl2Ga2 | PBE | relaxed

a b c (Å): 4.5270 4.5270 6.8661
angles (deg): 90.00 90.00 120.00
Last column: nearest neighbours and their distance in Å.
Atoms (fractional coordinates):
Ca 0.0000 0.0000 0.0000  6 Ga 3.20, 6 Al 3.28, 2 Mg 3.43
Mg 0.0000 0.0000 0.5000  6 Al 2.99, 6 Ga 3.06
Al 0.3333 0.6667 0.7115  3 Ga 2.62
Al 0.6667 0.3333 0.2885  3 Ga 2.62
Ga 0.3333 0.6667 0.2680  3 Al 2.62
Ga 0.6667 0.3333 0.7320  3 Al 2.62

Output
Symmetry: P-3m1 (164)
Electronic total energy in eV per atom: -3.108
M_tot in μB/atom: 0.000
Mass density in Mg/m³: 3.51